Record 1
Density functional theory data (PBE) for a geometry-optimized CaSbP2 structure. Values from VASP.

Quantum ESPRESSO input file:
```
&SYSTEM
  ibrav = 0, nat = 4, ntyp = 3
/
ATOMIC_SPECIES
Sb 121.76 Sb.upf
P 30.97 P.upf
Ca 40.08 Ca.upf
ATOMIC_POSITIONS angstrom
Sb 2.001 1.469 1.340
P 0.000 2.487 3.031
P 0.000 1.632 5.014
Ca 2.001 4.408 4.019
CELL_PARAMETERS angstrom
4.001 0.000 0.000
0.000 4.696 -0.007
0.000 1.181 5.365
```

Symmetry: P2/m, No. 10
Formation energy without anion corrections: -0.38 eV per atom

***

Record 2
Density functional theory data (PBE) for a geometry-optimized Pr6Rh2NCl3 structure. Values from VASP.

Quantum ESPRESSO input file:
```
&SYSTEM
  ibrav = 0, nat = 12, ntyp = 4
/
ATOMIC_SPECIES
Cl 35.45 Cl.upf
N 14.01 N.upf
Pr 140.91 Pr.upf
Rh 102.91 Rh.upf
ATOMIC_POSITIONS angstrom
Cl -2.371 4.070 3.773
Cl 4.710 -0.020 3.773
Cl 1.170 2.025 3.773
N 0.000 0.000 0.000
Pr 0.179 4.051 6.067
Pr -0.054 -0.093 6.048
Pr 2.161 -0.001 1.480
Pr 2.393 4.143 1.498
Pr -1.081 1.871 1.480
Pr 3.420 2.179 6.067
Rh 3.487 2.008 0.016
Rh -0.003 4.024 0.016
CELL_PARAMETERS angstrom
6.960 0.002 0.016
-3.476 6.030 0.016
-1.145 -1.982 7.514
```

Symmetry: C2/m, No. 12
Formation energy without anion corrections: -1.21 eV per atom

***

Record 3
Density functional theory data (PBE) for a geometry-optimized MgNbRu2 structure. Values from VASP.

Quantum ESPRESSO input file:
```
&SYSTEM
  ibrav = 0, nat = 4, ntyp = 3
/
ATOMIC_SPECIES
Mg 24.30 Mg.upf
Nb 92.91 Nb.upf
Ru 101.07 Ru.upf
ATOMIC_POSITIONS angstrom
Mg 1.580 1.580 3.148
Nb 1.580 1.580 0.000
Ru 0.000 0.000 1.515
Ru 0.000 0.000 4.781
CELL_PARAMETERS angstrom
3.160 0.000 0.000
0.000 3.160 0.000
0.000 0.000 6.295
```

Symmetry: P4/mmm, No. 123
ΔE_f: -0.2742 eV/atom

***

Record 4
Density functional theory data (PBE) for a geometry-optimized Nd2Y4Tm structure. Values from VASP.

Quantum ESPRESSO input file:
```
&SYSTEM
  ibrav = 0, nat = 28, ntyp = 3
/
ATOMIC_SPECIES
Y 88.91 Y.upf
Nd 144.24 Nd.upf
Tm 168.93 Tm.upf
ATOMIC_POSITIONS angstrom
Y 3.159 1.421 6.011
Y 4.142 9.094 11.077
Y -0.114 5.653 7.988
Y 4.370 -1.671 6.591
Y -3.413 9.870 9.935
Y 1.072 2.546 8.538
Y 7.441 4.877 9.129
Y 5.152 8.851 14.211
Y 3.360 -1.428 3.456
Y 11.926 -2.447 7.732
Y -2.202 6.778 10.515
Y -2.403 9.627 13.070
Y 8.627 1.770 9.680
Y 10.916 -2.204 4.598
Y 5.353 6.002 11.657
Y 10.715 0.645 7.152
Nd -0.608 3.279 5.454
Nd 0.209 -0.632 5.025
Nd 0.748 8.831 11.501
Nd 9.121 4.144 12.213
Nd 8.304 8.055 12.643
Nd 7.764 -1.408 6.166
Nd 6.947 2.502 6.596
Nd 1.566 4.921 11.072
Tm -0.743 -1.143 1.217
Tm -1.813 6.775 5.259
Tm 6.812 -1.920 2.358
Tm 4.256 3.711 8.834
CELL_PARAMETERS angstrom
-1.487 -2.287 2.434
13.625 -3.839 4.716
-3.625 13.549 10.518
```

Symmetry: C2/m, No. 12
ΔE_f: 0.1176 eV/atom
ΔE to the lowest computed polymorph: 0.00 kJ/mol of atoms

***

Record 5
Density functional theory data (PBE) for a geometry-optimized AcLaPt structure. Values from VASP.

Quantum ESPRESSO input file:
```
&SYSTEM
  ibrav = 0, nat = 6, ntyp = 3
/
ATOMIC_SPECIES
Pt 195.08 Pt.upf
Ac 227.00 Ac.upf
La 138.91 La.upf
ATOMIC_POSITIONS angstrom
Pt 1.866 -0.168 2.535
Pt 5.598 2.361 0.937
Ac 3.732 0.000 0.000
Ac 0.000 0.000 0.000
La 5.598 -1.320 3.262
La 1.866 3.513 0.210
CELL_PARAMETERS angstrom
7.464 0.000 0.000
0.000 6.522 -1.691
0.000 -4.329 5.163
```

Symmetry: Cmcm, No. 63
ΔE_f: -0.7862 eV/atom
ΔE to the lowest computed polymorph: 2.34 kJ/mol of atoms

***

Record 6
Density functional theory data (PBE) for a geometry-optimized ScRu2Br structure. Values from VASP.

Quantum ESPRESSO input file:
```
&SYSTEM
  ibrav = 0, nat = 4, ntyp = 3
/
ATOMIC_SPECIES
Ru 101.07 Ru.upf
Sc 44.96 Sc.upf
Br 79.90 Br.upf
ATOMIC_POSITIONS angstrom
Ru -0.388 -4.219 0.784
Ru -7.219 -5.254 -0.352
Sc -4.925 -3.157 -0.327
Br -2.524 -1.824 -0.126
CELL_PARAMETERS angstrom
-5.008 -0.772 0.774
-4.422 -1.378 -2.196
-0.364 -4.492 0.845
```

Symmetry: Cm, No. 8
Formation energy without anion corrections: 0.18 eV per atom
ΔE to the lowest computed polymorph: 25.34 kJ/mol of atoms

***

Record 7
Density functional theory data (PBE) for a geometry-optimized ScCu structure. Values from VASP.

Quantum ESPRESSO input file:
```
&SYSTEM
  ibrav = 0, nat = 12, ntyp = 2
/
ATOMIC_SPECIES
Sc 44.96 Sc.upf
Cu 63.55 Cu.upf
ATOMIC_POSITIONS angstrom
Sc 5.610 1.270 1.080
Sc 3.905 4.224 1.080
Sc 2.199 1.270 1.080
Sc 1.705 5.494 3.241
Sc -1.706 5.494 3.241
Sc 0.000 2.540 3.241
Cu 0.000 5.980 1.080
Cu 3.905 0.783 3.241
Cu -1.274 3.773 1.080
Cu 2.631 2.990 3.241
Cu 1.274 3.773 1.080
Cu 5.179 2.990 3.241
CELL_PARAMETERS angstrom
7.810 0.000 0.000
-3.905 6.763 0.000
0.000 0.000 4.322
```

Symmetry: P6_3/mmc, No. 194
ΔE_f: -0.1533 eV/atom

***

Record 8
Density functional theory data (PBE) for a geometry-optimized Sm2O2F structure. Values from VASP.

Quantum ESPRESSO input file:
```
&SYSTEM
  ibrav = 0, nat = 10, ntyp = 3
/
ATOMIC_SPECIES
O 16.00 O.upf
Sm 150.36 Sm.upf
F 19.00 F.upf
ATOMIC_POSITIONS angstrom
O 0.000 2.662 2.986
O 2.313 4.687 1.863
O 0.000 -2.116 4.749
O 2.313 -0.092 3.626
Sm 2.313 2.446 2.696
Sm 0.000 0.125 3.916
Sm 2.313 -2.036 5.224
Sm 0.000 4.607 1.388
F 2.313 0.981 0.833
F 0.000 1.590 5.779
CELL_PARAMETERS angstrom
4.626 0.000 0.000
-2.313 5.891 -0.126
0.000 -3.320 6.738
```

Symmetry: C2/m, No. 12
Formation energy without anion corrections: -3.22 eV per atom

***

Record 9
Density functional theory data (PBE) for a geometry-optimized SbMo2Br structure. Values from VASP.

Quantum ESPRESSO input file:
```
&SYSTEM
  ibrav = 0, nat = 4, ntyp = 3
/
ATOMIC_SPECIES
Mo 95.94 Mo.upf
Br 79.90 Br.upf
Sb 121.76 Sb.upf
ATOMIC_POSITIONS angstrom
Mo 0.021 -0.002 0.023
Mo 2.964 -0.241 3.191
Br 4.977 -1.783 4.251
Sb 1.991 -1.541 1.037
CELL_PARAMETERS angstrom
-1.326 -2.701 1.028
2.322 -0.138 -2.168
5.971 -0.485 6.428
```

Symmetry: Cmmm, No. 65
Formation energy without anion corrections: 0.84 eV per atom
ΔE to the lowest computed polymorph: 62.21 kJ/mol of atoms

***

Record 10
Density functional theory data (PBE) for a geometry-optimized TbScPt structure. Values from VASP.

Quantum ESPRESSO input file:
```
&SYSTEM
  ibrav = 0, nat = 18, ntyp = 3
/
ATOMIC_SPECIES
Pt 195.08 Pt.upf
Tb 158.93 Tb.upf
Sc 44.96 Sc.upf
ATOMIC_POSITIONS angstrom
Pt 5.522 1.922 9.458
Pt 6.701 5.612 6.875
Pt 2.189 5.020 8.168
Pt 0.971 1.254 2.233
Pt 4.760 6.279 11.137
Pt 3.542 2.513 5.203
Tb 1.189 0.377 5.275
Tb 7.200 7.156 9.308
Tb 2.861 1.921 8.243
Tb 4.040 5.612 5.661
Tb 6.023 3.466 11.892
Tb 2.369 4.067 2.692
Sc 4.760 4.733 8.931
Sc 5.804 2.800 6.645
Sc 7.021 6.565 12.579
Sc 1.281 3.767 5.962
Sc 0.062 0.000 0.028
Sc 3.542 0.968 2.996
CELL_PARAMETERS angstrom
6.499 0.000 2.965
2.398 7.456 3.349
0.039 0.077 8.518
```

Symmetry: Amm2, No. 38
ΔE_f: -0.9595 eV/atom
ΔE to the lowest computed polymorph: 0.00 kJ/mol of atoms

***

Record 11
Density functional theory data (PBE) for a geometry-optimized TiZnNiPd structure. Values from VASP.

Quantum ESPRESSO input file:
```
&SYSTEM
  ibrav = 0, nat = 4, ntyp = 4
/
ATOMIC_SPECIES
Pd 106.42 Pd.upf
Ni 58.69 Ni.upf
Zn 65.41 Zn.upf
Ti 47.87 Ti.upf
ATOMIC_POSITIONS angstrom
Pd 0.000 0.000 0.000
Ni 1.038 -4.976 1.361
Zn 1.557 -7.464 2.042
Ti 0.519 -2.488 0.681
CELL_PARAMETERS angstrom
-0.752 -4.124 -0.941
3.109 -2.921 0.512
-0.281 -2.906 3.152
```

Symmetry: F-43m, No. 216
ΔE_f: -0.4495 eV/atom
ΔE to the lowest computed polymorph: 2.41 kJ/mol of atoms

***

Record 12
Density functional theory data (PBE) for a geometry-optimized HoErIr4 structure. Values from VASP.

Quantum ESPRESSO input file:
```
&SYSTEM
  ibrav = 0, nat = 6, ntyp = 3
/
ATOMIC_SPECIES
Ir 192.22 Ir.upf
Er 167.26 Er.upf
Ho 164.93 Ho.upf
ATOMIC_POSITIONS angstrom
Ir 5.345 3.086 0.545
Ir 6.681 3.857 2.727
Ir 5.345 1.543 2.727
Ir 4.008 3.857 2.727
Er 0.000 0.000 0.000
Ho 2.672 1.543 1.091
CELL_PARAMETERS angstrom
5.345 0.000 0.000
2.672 4.628 0.000
2.672 1.543 4.364
```

Symmetry: F-43m, No. 216
ΔE_f: -0.8231 eV/atom

***

Record 13
Density functional theory data (PBE) for a geometry-optimized Hf4MoIr structure. Values from VASP.

Quantum ESPRESSO input file:
```
&SYSTEM
  ibrav = 0, nat = 12, ntyp = 3
/
ATOMIC_SPECIES
Hf 178.49 Hf.upf
Ir 192.22 Ir.upf
Mo 95.94 Mo.upf
ATOMIC_POSITIONS angstrom
Hf -2.121 1.128 0.057
Hf -4.709 1.128 -1.825
Hf -4.713 -2.939 -3.453
Hf -2.435 -1.044 -2.537
Hf -5.955 0.228 1.196
Hf -2.118 5.195 1.686
Hf -0.875 2.029 -2.963
Hf -4.396 3.300 0.770
Ir -6.525 2.654 2.393
Ir -0.306 -0.398 -4.161
Mo -2.909 3.307 -1.520
Mo -3.921 -1.051 -0.247
CELL_PARAMETERS angstrom
-0.399 -0.540 -5.547
-5.529 -4.421 2.379
-0.902 7.218 1.401
```

Symmetry: C2/c, No. 15
ΔE_f: -0.2410 eV/atom

***

Record 14
Density functional theory data (PBE) for a geometry-optimized CsFe2H structure. Values from VASP.

Quantum ESPRESSO input file:
```
&SYSTEM
  ibrav = 0, nat = 4, ntyp = 3
/
ATOMIC_SPECIES
Cs 132.91 Cs.upf
Fe 55.84 Fe.upf
H 1.01 H.upf
ATOMIC_POSITIONS angstrom
Cs 3.206 3.206 3.206
Fe 4.808 4.808 4.808
Fe 1.603 1.603 1.603
H 0.000 0.000 0.000
CELL_PARAMETERS angstrom
0.000 3.206 3.206
3.206 0.000 3.206
3.206 3.206 0.000
```

Symmetry: Fm-3m, No. 225
ΔE to the lowest computed polymorph: 108.36 kJ/mol of atoms

***

Record 15
Density functional theory data (PBE) for a geometry-optimized La2PuAs3Pd4 structure. Values from VASP.

Quantum ESPRESSO input file:
```
&SYSTEM
  ibrav = 0, nat = 10, ntyp = 4
/
ATOMIC_SPECIES
As 74.92 As.upf
Pd 106.42 Pd.upf
La 138.91 La.upf
Pu 244.00 Pu.upf
ATOMIC_POSITIONS angstrom
As 3.572 -8.892 3.922
As 2.509 -0.674 -0.041
As 2.271 -4.296 3.157
Pd 2.603 -7.060 2.576
Pd 0.000 0.000 0.000
Pd 1.540 -0.974 -2.433
Pd 3.478 -2.506 1.306
La 5.504 -6.338 4.122
La 0.578 -3.228 -0.241
Pu 3.810 -5.270 0.724
CELL_PARAMETERS angstrom
-0.795 -2.767 -3.193
3.874 0.818 -1.673
4.542 -8.592 6.314
```

Symmetry: P-4m2, No. 115
ΔE_f: -0.8867 eV/atom

***

Calculated total energy for the records above, in order: -4.6154, -5.9817, -7.8282, -5.5772, -5.8118, -6.4577, -5.3671, -7.4641, -6.0221, -6.6270, -5.4853, -8.2539, -10.1586, -3.2801, -6.7774 eV per atom